Computed, not measured: a geometry-optimized RbCd2BiPb structure at the PBE level of DFT.

Output
Space-group type ... Imm2 (44)
Fermi-level density of states ... 3.52 states/eV per cell
Spin magnetization ... 0.00 Bohr magnetons per cell
Total DFT energy (no corrections) ... -2.21 eV/atom

The structure in CIF format:
```
data_RbCd2BiPb
_chemical_formula_sum 'Rb2 Cd4 Bi2 Pb2'
_symmetry_space_group_name_H-M 'P 1'
_symmetry_Int_Tables_number 1
_symmetry_space_group_name_Hall 'P 1'
_cell_length_a 5.1296
_cell_length_b 5.4278
_cell_length_c 12.6037
_cell_angle_alpha 90.00
_cell_angle_beta 90.00
_cell_angle_gamma 90.00
loop_
_atom_site_label
_atom_site_type_symbol
_atom_site_fract_x
_atom_site_fract_y
_atom_site_fract_z
Rb1 Rb 0.0000 0.0000 0.0000
Rb2 Rb 0.5000 0.5000 0.5000
Cd1 Cd 0.0000 0.0000 0.6317
Cd2 Cd 0.0000 0.5000 0.2477
Cd3 Cd 0.5000 0.0000 0.7477
Cd4 Cd 0.5000 0.5000 0.1317
Bi1 Bi 0.0000 0.0000 0.3927
Bi2 Bi 0.5000 0.5000 0.8927
Pb1 Pb 0.0000 0.5000 0.7458
Pb2 Pb 0.5000 0.0000 0.2458
```



Computed, not measured: a geometry-optimized CaSmSn6 structure at the PBE level of DFT.

Output
Space-group type ... P4/mmm (123)
Fermi-level density of states ... 3.13 states/eV per cell
Spin magnetization ... 0.00 Bohr magnetons per cell
Total DFT energy (no corrections) ... -4.28 eV/atom

The structure in CIF format:
```
data_CaSmSn6
_chemical_formula_sum 'Ca1 Sm1 Sn6'
_symmetry_space_group_name_H-M 'P 1'
_symmetry_Int_Tables_number 1
_symmetry_space_group_name_Hall 'P 1'
_cell_length_a 4.7072
_cell_length_b 4.7072
_cell_length_c 9.7135
_cell_angle_alpha 90.00
_cell_angle_beta 90.00
_cell_angle_gamma 90.00
loop_
_atom_site_label
_atom_site_type_symbol
_atom_site_fract_x
_atom_site_fract_y
_atom_site_fract_z
Ca1 Ca 0.0000 0.0000 0.0000
Sm1 Sm 0.0000 0.0000 0.5000
Sn1 Sn 0.0000 0.5000 0.2491
Sn2 Sn 0.0000 0.5000 0.7509
Sn3 Sn 0.5000 0.0000 0.2491
Sn4 Sn 0.5000 0.0000 0.7509
Sn5 Sn 0.5000 0.5000 0.0000
Sn6 Sn 0.5000 0.5000 0.5000
```